Computed, not measured: crystalline Be2NiPt at its relaxed geometry at the PBE level of DFT.

Cell and atoms, written as POSCAR:
```
Be2NiPt
1.0
3.658 -1.351 0.000
3.658 1.351 0.000
-0.987 0.000 4.422
Be Ni Pt
2 1 1
Direct
0.247 0.247 0.227
0.753 0.753 0.773
0.500 0.500 0.000
0.000 0.000 0.500
```

Output
- size of the total moment (μB/cell) = 0.00
- space group = C2/m, No. 12
- V (Å³ per cell) = 43.7
- ΔH_f (0 K) (meV/atom) = -350